A plane-wave DFT calculation with GGA-PBE was carried out for TcIrPt2 after structural relaxation.

a = 2.7684 Å, b = 2.7684 Å, c = 27.2236 Å
α = 90.00°, β = 90.00°, γ = 120.00°
Space group R-3m (No. 166, hexagonal axes)
Asymmetric unit:
Tc 0.0000 0.0000 0.0000 (multiplicity 3)
Ir 0.0000 0.0000 0.5000 (multiplicity 3)
Pt 0.0000 0.0000 0.2520 (multiplicity 6)

Computed properties:
total magnetic moment: 1.94 Bohr magnetons per cell
DFT formation energy: 7 meV/atom
energy relative to the lowest polymorph listed for this composition: 182 meV per atom
DFT total energy: -93.85 eV/cell